(1)
DFT (PBE-GGA) results for an optimized crystal structure of Ga12Hg3S5.

Calculated values
For the uncorrected formation energy, the calculation gives -28 meV per atom.

Lattice parameters (Å, degrees): 13.7309 13.7309 13.7309 109.47 109.47 109.47
With the nearest neighbours (Å) after each atom.
Fractional coordinates of all 80 atoms:
Ga  0.0531  0.2249  0.1421  2 S 2.53-2.72
Ga  0.0531  0.3282  0.9110  2 S 2.53-2.72
Ga  0.0828  0.7249  0.6718  2 S 2.53-2.72
Ga  0.0828  0.8579  0.4110  2 S 2.53-2.72
Ga  0.0890  0.6421  0.4172  2 S 2.53-2.72
Ga  0.0890  0.9469  0.6718  2 S 2.53-2.72
Ga  0.1421  0.0531  0.2249  2 S 2.53-2.72
Ga  0.1421  0.5890  0.9172  2 S 2.53-2.72
Ga  0.1718  0.2249  0.5828  2 S 2.53-2.72
Ga  0.1718  0.4469  0.5890  2 S 2.53-2.72
Ga  0.2249  0.1421  0.0531  2 S 2.53-2.72
Ga  0.2249  0.5828  0.1718  2 S 2.53-2.72
Ga  0.2751  0.3282  0.9172  2 S 2.53-2.72
Ga  0.2751  0.4469  0.3579  2 S 2.53-2.72
Ga  0.3282  0.9110  0.0531  2 S 2.53-2.72
Ga  0.3282  0.9172  0.2751  2 S 2.53-2.72
Ga  0.3579  0.2751  0.4469  2 S 2.53-2.72
Ga  0.3579  0.5828  0.9110  2 S 2.53-2.72
Ga  0.4110  0.0828  0.8579  2 S 2.53-2.72
Ga  0.4110  0.8282  0.5531  2 S 2.53-2.72
Ga  0.4172  0.0890  0.6421  2 S 2.53-2.72
Ga  0.4172  0.8282  0.7751  2 S 2.53-2.72
Ga  0.4469  0.3579  0.2751  2 S 2.53-2.72
Ga  0.4469  0.5890  0.1718  2 S 2.53-2.72
Ga  0.5531  0.4110  0.8282  2 S 2.53-2.72
Ga  0.5531  0.6421  0.7249  2 S 2.53-2.72
Ga  0.5828  0.1718  0.2249  2 S 2.53-2.72
Ga  0.5828  0.9110  0.3579  2 S 2.53-2.72
Ga  0.5890  0.1718  0.4469  2 S 2.53-2.72
Ga  0.5890  0.9172  0.1421  2 S 2.53-2.72
Ga  0.6421  0.4172  0.0890  2 S 2.53-2.72
Ga  0.6421  0.7249  0.5531  2 S 2.53-2.72
Ga  0.6718  0.0828  0.7249  2 S 2.53-2.72
Ga  0.6718  0.0890  0.9469  2 S 2.53-2.72
Ga  0.7249  0.5531  0.6421  2 S 2.53-2.72
Ga  0.7249  0.6718  0.0828  2 S 2.53-2.72
Ga  0.7751  0.4172  0.8282  2 S 2.53-2.72
Ga  0.7751  0.8579  0.9469  2 S 2.53-2.72
Ga  0.8282  0.5531  0.4110  2 S 2.53-2.72
Ga  0.8282  0.7751  0.4172  2 S 2.53-2.72
Ga  0.8579  0.4110  0.0828  2 S 2.53-2.72
Ga  0.8579  0.9469  0.7751  2 S 2.53-2.72
Ga  0.9110  0.0531  0.3282  2 S 2.53-2.72
Ga  0.9110  0.3579  0.5828  2 S 2.53-2.72
Ga  0.9172  0.1421  0.5890  2 S 2.53-2.72
Ga  0.9172  0.2751  0.3282  2 S 2.53-2.72
Ga  0.9469  0.6718  0.0890  2 S 2.53-2.72
Ga  0.9469  0.7751  0.8579  2 S 2.53-2.72
Hg  0.1250  0.2500  0.3750  8 Ga 2.87-2.94
Hg  0.1250  0.3750  0.7500  8 Ga 2.87-2.94
Hg  0.2500  0.3750  0.1250  8 Ga 2.87-2.94
Hg  0.2500  0.8750  0.6250  8 Ga 2.87-2.94
Hg  0.3750  0.1250  0.2500  8 Ga 2.87-2.94
Hg  0.3750  0.7500  0.1250  8 Ga 2.87-2.94
Hg  0.6250  0.2500  0.8750  8 Ga 2.87-2.94
Hg  0.6250  0.8750  0.7500  8 Ga 2.87-2.94
Hg  0.7500  0.1250  0.3750  8 Ga 2.87-2.94
Hg  0.7500  0.6250  0.8750  8 Ga 2.87-2.94
Hg  0.8750  0.6250  0.2500  8 Ga 2.87-2.94
Hg  0.8750  0.7500  0.6250  8 Ga 2.87-2.94
S  0.0000  0.0000  0.0000  6 Ga 2.72
S  0.0000  0.0000  0.5000  6 Ga 2.72
S  0.0000  0.5000  0.0000  6 Ga 2.72
S  0.0000  0.5000  0.5000  6 Ga 2.72
S  0.1250  0.7500  0.8750  4 Ga 2.53
S  0.1250  0.8750  0.2500  4 Ga 2.53
S  0.2500  0.1250  0.8750  4 Ga 2.53
S  0.2500  0.6250  0.3750  4 Ga 2.53
S  0.3750  0.2500  0.6250  4 Ga 2.53
S  0.3750  0.6250  0.7500  4 Ga 2.53
S  0.5000  0.0000  0.0000  6 Ga 2.72
S  0.5000  0.0000  0.5000  6 Ga 2.72
S  0.5000  0.5000  0.0000  6 Ga 2.72
S  0.5000  0.5000  0.5000  6 Ga 2.72
S  0.6250  0.3750  0.2500  4 Ga 2.53
S  0.6250  0.7500  0.3750  4 Ga 2.53
S  0.7500  0.3750  0.6250  4 Ga 2.53
S  0.7500  0.8750  0.1250  4 Ga 2.53
S  0.8750  0.1250  0.7500  4 Ga 2.53
S  0.8750  0.2500  0.1250  4 Ga 2.53

(2)
DFT (PBE-GGA) results for an optimized crystal structure of Nd7Ho2Sc2.

Calculated values
As for the energy of formation from the pure elements: 352 meV per atom. For the energy above the lowest structure with this stoichiometry, the calculation gives 206.3 meV/atom.

Lattice parameters (Å, degrees): 6.6708 6.6708 10.0789 90.00 90.00 122.12
With the nearest neighbours (Å) after each atom.
Fractional coordinates of all 11 atoms:
Nd  0.0000  0.0000  0.0000  2 Ho 3.34
Nd  0.0000  0.5000  0.3173  4 Nd 3.23-3.51, 2 Sc 3.45, 2 Ho 3.61
Nd  0.0000  0.5000  0.6827  4 Nd 3.23-3.51, 2 Sc 3.45, 2 Ho 3.61
Nd  0.5000  0.0000  0.3173  4 Nd 3.23-3.51, 2 Sc 3.45, 2 Ho 3.61
Nd  0.5000  0.0000  0.6827  4 Nd 3.23-3.51, 2 Sc 3.45, 2 Ho 3.61
Nd  0.5000  0.5000  0.2084  2 Ho 3.26, 2 Sc 3.34, 4 Nd 3.51
Nd  0.5000  0.5000  0.7916  2 Ho 3.26, 2 Sc 3.34, 4 Nd 3.51
Ho  0.2860  0.7140  0.0000  7 Nd 3.26-3.61, 2 Ho 3.34
Ho  0.7140  0.2860  0.0000  7 Nd 3.26-3.61, 2 Ho 3.34
Sc  0.2530  0.2530  0.5000  2 Sc 3.19-3.27, 6 Nd 3.34-3.45
Sc  0.7470  0.7470  0.5000  2 Sc 3.19-3.27, 6 Nd 3.34-3.45

(3)
DFT (PBE-GGA) results for an optimized crystal structure of NdDy5Y2Tm.

Calculated values
As for the energy of formation from the pure elements: 156 meV per atom.

Lattice parameters (Å, degrees): 10.2740 10.2740 10.5657 90.00 90.00 148.23
With the nearest neighbours (Å) after each atom.
Fractional coordinates of all 18 atoms:
Nd  0.0842  0.9158  0.5000  5 Dy 3.04-3.25
Nd  0.9158  0.0842  0.0000  5 Dy 3.04-3.25
Dy  0.0205  0.9795  0.7832  2 Nd 3.09-3.25
Dy  0.1130  0.8870  0.0669  6 Dy 3.49-3.84, 4 Y 3.54-3.60, 1 Tm 3.69
Dy  0.2018  0.7982  0.7532  4 Dy 3.41-3.75, 3 Tm 3.49-3.74, 3 Y 3.51-3.70, 1 Nd 3.54
Dy  0.2181  0.7819  0.3580  1 Nd 3.04, 1 Y 3.33
Dy  0.4807  0.5193  0.0689  2 Nd 3.18, 2 Y 3.40
Dy  0.5193  0.4807  0.5689  2 Nd 3.18, 2 Y 3.40
Dy  0.7819  0.2181  0.8580  1 Nd 3.04, 1 Y 3.33
Dy  0.7982  0.2018  0.2532  4 Dy 3.41-3.75, 3 Tm 3.49-3.74, 3 Y 3.51-3.70, 1 Nd 3.54
Dy  0.8870  0.1130  0.5669  6 Dy 3.49-3.84, 4 Y 3.54-3.60, 1 Tm 3.69
Dy  0.9795  0.0205  0.2832  2 Nd 3.09-3.25
Y  0.3865  0.6135  0.3640  9 Dy 3.33-3.63, 1 Tm 3.67
Y  0.3888  0.6112  0.7791  7 Dy 3.40-3.70, 1 Tm 3.42, 2 Nd 3.69
Y  0.6112  0.3888  0.2791  7 Dy 3.40-3.70, 1 Tm 3.42, 2 Nd 3.69
Y  0.6135  0.3865  0.8640  9 Dy 3.33-3.63, 1 Tm 3.67
Tm  0.2994  0.7006  0.0568  2 Y 3.42-3.67, 8 Dy 3.49-3.74, 2 Nd 3.68
Tm  0.7006  0.2994  0.5568  2 Y 3.42-3.67, 8 Dy 3.49-3.74, 2 Nd 3.68

(4)
DFT (PBE-GGA) results for an optimized crystal structure of Tb6Dy7Ho16.

Calculated values
As for the energy of formation from the pure elements: 248 meV per atom.

Lattice parameters (Å, degrees): 11.0403 11.0403 11.0403 60.00 60.00 60.00
With the nearest neighbours (Å) after each atom.
Fractional coordinates of all 29 atoms:
Tb  0.2235  0.2235  0.7765  8 Ho 3.53-3.63, 4 Dy 3.93
Tb  0.2235  0.7765  0.2235  8 Ho 3.53-3.63, 4 Dy 3.93
Tb  0.2235  0.7765  0.7765  8 Ho 3.53-3.63, 4 Dy 3.93
Tb  0.7765  0.2235  0.2235  8 Ho 3.53-3.63, 4 Dy 3.93
Tb  0.7765  0.2235  0.7765  8 Ho 3.53-3.63, 4 Dy 3.93
Tb  0.7765  0.7765  0.2235  8 Ho 3.53-3.63, 4 Dy 3.93
Dy  0.0000  0.0000  0.5000  8 Ho 3.21-3.39
Dy  0.0000  0.5000  0.0000  8 Ho 3.21-3.39
Dy  0.0000  0.5000  0.5000  8 Ho 3.21-3.39
Dy  0.5000  0.0000  0.0000  8 Ho 3.21-3.39
Dy  0.5000  0.0000  0.5000  8 Ho 3.21-3.39
Dy  0.5000  0.5000  0.0000  8 Ho 3.21-3.39
Dy  0.5000  0.5000  0.5000  8 Ho 3.35
Ho  0.1284  0.6239  0.6239  4 Dy 3.35-3.39, 3 Ho 3.56, 3 Tb 3.63
Ho  0.1515  0.1515  0.1515  3 Dy 3.21, 3 Tb 3.53, 3 Ho 3.56
Ho  0.1515  0.1515  0.5456  3 Dy 3.21, 3 Tb 3.53, 3 Ho 3.56
Ho  0.1515  0.5456  0.1515  3 Dy 3.21, 3 Tb 3.53, 3 Ho 3.56
Ho  0.3761  0.3761  0.3761  4 Dy 3.35-3.39, 3 Ho 3.56, 3 Tb 3.63
Ho  0.3761  0.3761  0.8716  4 Dy 3.35-3.39, 3 Ho 3.56, 3 Tb 3.63
Ho  0.3761  0.8716  0.3761  4 Dy 3.35-3.39, 3 Ho 3.56, 3 Tb 3.63
Ho  0.4544  0.8485  0.8485  3 Dy 3.21, 3 Tb 3.53, 3 Ho 3.56
Ho  0.5456  0.1515  0.1515  3 Dy 3.21, 3 Tb 3.53, 3 Ho 3.56
Ho  0.6239  0.1284  0.6239  4 Dy 3.35-3.39, 3 Ho 3.56, 3 Tb 3.63
Ho  0.6239  0.6239  0.1284  4 Dy 3.35-3.39, 3 Ho 3.56, 3 Tb 3.63
Ho  0.6239  0.6239  0.6239  4 Dy 3.35-3.39, 3 Ho 3.56, 3 Tb 3.63
Ho  0.8485  0.4544  0.8485  3 Dy 3.21, 3 Tb 3.53, 3 Ho 3.56
Ho  0.8485  0.8485  0.4544  3 Dy 3.21, 3 Tb 3.53, 3 Ho 3.56
Ho  0.8485  0.8485  0.8485  3 Dy 3.21, 3 Tb 3.53, 3 Ho 3.56
Ho  0.8716  0.3761  0.3761  4 Dy 3.35-3.39, 3 Ho 3.56, 3 Tb 3.63

(5)
DFT (PBE-GGA) results for an optimized crystal structure of Ca4Ac15Y.

Calculated values
As for the energy of formation from the pure elements: 23 meV per atom.

Lattice parameters (Å, degrees): 5.5681 5.5681 28.0337 90.00 90.00 90.00
With the nearest neighbours (Å) after each atom.
Fractional coordinates of all 20 atoms:
Ca  0.0000  0.0000  0.1006  12 Ac 3.94-3.97
Ca  0.0000  0.0000  0.3018  12 Ac 3.94-3.98
Ca  0.0000  0.0000  0.6982  12 Ac 3.94-3.98
Ca  0.0000  0.0000  0.8994  12 Ac 3.94-3.97
Ac  0.0000  0.5000  0.0000  8 Ac 3.94-3.96, 4 Ca 3.96
Ac  0.0000  0.5000  0.2014  8 Ac 3.94-3.97, 4 Ca 3.96-3.97
Ac  0.0000  0.5000  0.4034  8 Ac 3.88-3.98, 2 Y 3.88, 2 Ca 3.98
Ac  0.0000  0.5000  0.5966  8 Ac 3.88-3.98, 2 Y 3.88, 2 Ca 3.98
Ac  0.0000  0.5000  0.7986  8 Ac 3.94-3.97, 4 Ca 3.96-3.97
Ac  0.5000  0.0000  0.0000  8 Ac 3.94-3.96, 4 Ca 3.96
Ac  0.5000  0.0000  0.2014  8 Ac 3.94-3.97, 4 Ca 3.96-3.97
Ac  0.5000  0.0000  0.4034  8 Ac 3.88-3.98, 2 Y 3.88, 2 Ca 3.98
Ac  0.5000  0.0000  0.5966  8 Ac 3.88-3.98, 2 Y 3.88, 2 Ca 3.98
Ac  0.5000  0.0000  0.7986  8 Ac 3.94-3.97, 4 Ca 3.96-3.97
Ac  0.5000  0.5000  0.1006  4 Ca 3.94, 8 Ac 3.96-3.97
Ac  0.5000  0.5000  0.3018  4 Ca 3.94, 8 Ac 3.96-3.98
Ac  0.5000  0.5000  0.5000  8 Ac 3.88, 4 Y 3.94
Ac  0.5000  0.5000  0.6982  4 Ca 3.94, 8 Ac 3.96-3.98
Ac  0.5000  0.5000  0.8994  4 Ca 3.94, 8 Ac 3.96-3.97
Y  0.0000  0.0000  0.5000  12 Ac 3.88-3.94

(6)
DFT (PBE-GGA) results for an optimized crystal structure of Rb2Pd3S4.

Calculated values
For the uncorrected formation energy, the calculation gives -726 meV per atom.

Lattice parameters (Å, degrees): 8.6542 7.5151 6.2251 77.45 57.95 44.60
With the nearest neighbours (Å) after each atom.
Fractional coordinates of all 9 atoms:
Rb  0.1576  0.1576  0.8424  8 S 3.59-3.71, 6 Pd 3.78-3.84
Rb  0.8424  0.8424  0.1576  8 S 3.59-3.71, 6 Pd 3.78-3.84
Pd  0.0000  0.0000  0.5000  4 S 2.38
Pd  0.5000  0.5000  0.0000  4 S 2.38
Pd  0.5000  0.5000  0.5000  4 S 2.37
S  0.2186  0.5562  0.4438  3 Pd 2.37-2.38
S  0.4438  0.7814  0.2186  3 Pd 2.37-2.38
S  0.5562  0.2186  0.7814  3 Pd 2.37-2.38
S  0.7814  0.4438  0.5562  3 Pd 2.37-2.38

(7)
DFT (PBE-GGA) results for an optimized crystal structure of Li2PW.

Calculated values
As for the energy of formation from the pure elements: 48 meV per atom.

Lattice parameters (Å, degrees): 4.8028 9.3572 2.6711 90.00 108.48 90.00
With the nearest neighbours (Å) after each atom.
Fractional coordinates of all 8 atoms:
Li  0.2500  0.2500  0.0000  4 Li 2.40-2.67
Li  0.2500  0.7500  0.0000  4 Li 2.40-2.67
Li  0.7500  0.2500  0.0000  4 Li 2.40-2.67
Li  0.7500  0.7500  0.0000  4 Li 2.40-2.67
P  0.0000  0.0000  0.5000  2 W 2.40, 2 P 2.67
P  0.5000  0.5000  0.5000  2 W 2.40, 2 P 2.67
W  0.0000  0.5000  0.5000  2 P 2.40, 2 W 2.67
W  0.5000  0.0000  0.5000  2 P 2.40, 2 W 2.67

(8)
DFT (PBE-GGA) results for an optimized crystal structure of SrBPIr2.

Calculated values
As for the energy of formation from the pure elements: 820 meV per atom.

Lattice parameters (Å, degrees): 4.3550 4.3550 5.7479 90.00 90.00 90.00
With the nearest neighbours (Å) after each atom.
Fractional coordinates of all 5 atoms:
Sr  0.0000  0.0000  0.0000  2 P 2.87, 4 B 3.08
B  0.5000  0.5000  0.0000  4 Sr 3.08
P  0.0000  0.0000  0.5000  4 Ir 2.18
Ir  0.0000  0.5000  0.5000  2 P 2.18
Ir  0.5000  0.0000  0.5000  2 P 2.18

(9)
DFT (PBE-GGA) results for an optimized crystal structure of Pr2ThGe3Rh4.

Calculated values
As for the energy of formation from the pure elements: -853 meV per atom.

Lattice parameters (Å, degrees): 4.3117 4.3117 11.0729 90.00 90.00 90.00
With the nearest neighbours (Å) after each atom.
Fractional coordinates of all 10 atoms:
Pr  0.0000  0.5000  0.2213  4 Ge 3.25, 8 Rh 3.26-3.34
Pr  0.5000  0.0000  0.7787  4 Ge 3.25, 8 Rh 3.26-3.34
Th  0.0000  0.0000  0.5000  4 Rh 2.76, 4 Ge 3.05
Ge  0.0000  0.5000  0.8795  5 Rh 2.48-2.54
Ge  0.5000  0.0000  0.1205  5 Rh 2.48-2.54
Ge  0.5000  0.5000  0.5000  4 Rh 2.76, 4 Th 3.05
Rh  0.0000  0.0000  0.0000  4 Ge 2.54
Rh  0.0000  0.5000  0.6553  3 Ge 2.48-2.76, 2 Th 2.76
Rh  0.5000  0.0000  0.3447  3 Ge 2.48-2.76, 2 Th 2.76
Rh  0.5000  0.5000  0.0000  4 Ge 2.54

Which formula does entry 9 have? Pr2ThGe3Rh4